{
  "formula": "ZrHgTe",
  "functional": "PBE-GGA",
  "state": "relaxed",
  "lattice_angstrom": [[-5.350, 1.335, 2.514], [-4.497, -2.066, 3.496], [0.642, 1.144, 3.397]],
  "species": ["Zr", "Hg", "Te"],
  "frac_coords": [[0.680, 0.680, 0.320], [0.007, 0.007, 0.993], [0.313, 0.313, 0.687]],
  "dft_energy_ev_per_atom": -4.3484,
  "formation_energy_uncorrected_ev_per_atom": -0.3512,
  "sg": "No. 107",
  "m_tot_mub_per_cell": 0.00,
  "e_above_lowest_polymorph_ev_per_fu": 0.65
}

{
  "formula": "ZrHgTe2",
  "functional": "PBE-GGA",
  "state": "relaxed",
  "lattice_angstrom": [[-2.936, -1.491, -1.778], [2.994, -3.857, -1.710], [-1.151, -2.764, 4.218]],
  "species": ["Te", "Te", "Hg", "Zr"],
  "frac_coords": [[0.000, 0.000, 0.000], [0.000, 0.500, 0.500], [0.500, 0.000, 0.500], [0.500, 0.500, 0.000]],
  "dft_energy_ev_per_atom": -3.9018,
  "formation_energy_uncorrected_ev_per_atom": -0.1184,
  "sg": "No. 123",
  "m_tot_mub_per_cell": 0.00
}

{
  "formula": "ZrHgTe3",
  "functional": "PBE-GGA",
  "state": "relaxed",
  "lattice_angstrom": [[-1.037, 2.430, 4.972], [-3.852, -3.948, 1.127], [3.973, -3.194, 2.390]],
  "species": ["Zr", "Te", "Te", "Te", "Hg"],
  "frac_coords": [[0.000, 0.000, 0.000], [0.000, 0.500, 0.000], [0.500, 0.000, 0.000], [0.000, 0.000, 0.500], [0.500, 0.500, 0.500]],
  "dft_energy_ev_per_atom": -3.8375,
  "formation_energy_uncorrected_ev_per_atom": -0.1825,
  "sg": "No. 221",
  "m_tot_mub_per_cell": 0.00,
  "e_above_lowest_polymorph_ev_per_fu": 0.00
}

{
  "formula": "ZrHgTe2",
  "functional": "PBE-GGA",
  "state": "relaxed",
  "lattice_angstrom": [[18.743, 0.000, -1.552], [3.182, 5.482, -4.635], [-3.182, 5.482, 4.635]],
  "species": ["Hg", "Hg", "Hg", "Hg", "Hg", "Hg", "Hg", "Hg", "Te", "Te", "Te", "Te", "Te", "Te", "Te", "Te", "Te", "Te", "Te", "Te", "Te", "Te", "Te", "Te", "Zr", "Zr", "Zr", "Zr", "Zr", "Zr", "Zr", "Zr"],
  "frac_coords": [[0.596, 0.039, 0.091], [0.905, 0.591, 0.023], [0.096, 0.409, 0.461], [0.904, 0.591, 0.539], [0.595, 0.523, 0.091], [0.404, 0.961, 0.909], [0.095, 0.409, 0.977], [0.405, 0.477, 0.909], [0.490, 0.893, 0.664], [0.990, 0.836, 0.607], [0.496, 0.378, 0.675], [0.767, 0.119, 0.109], [0.504, 0.622, 0.325], [0.996, 0.825, 0.122], [0.750, 0.137, 0.637], [0.510, 0.107, 0.336], [0.004, 0.175, 0.878], [0.250, 0.863, 0.363], [0.267, 0.391, 0.381], [0.733, 0.609, 0.619], [0.010, 0.164, 0.393], [0.750, 0.599, 0.099], [0.250, 0.401, 0.901], [0.233, 0.881, 0.891], [0.649, 0.974, 0.781], [0.860, 0.265, 0.977], [0.640, 0.477, 0.765], [0.351, 0.026, 0.219], [0.149, 0.719, 0.526], [0.851, 0.281, 0.474], [0.360, 0.523, 0.235], [0.140, 0.735, 0.023]],
  "dft_energy_ev_per_atom": -4.3291,
  "formation_energy_uncorrected_ev_per_atom": -0.5458,
  "sg": "No. 15",
  "m_tot_mub_per_cell": 0.00
}

{
  "formula": "ZrHgTe2",
  "functional": "PBE-GGA",
  "state": "relaxed",
  "lattice_angstrom": [[4.216, 0.000, 0.000], [0.000, 4.216, 0.000], [0.000, 0.000, 6.255]],
  "species": ["Hg", "Te", "Te", "Zr"],
  "frac_coords": [[0.500, 0.500, 0.000], [0.500, 0.500, 0.500], [0.000, 0.000, 0.000], [0.000, 0.000, 0.500]],
  "dft_energy_ev_per_atom": -4.0621,
  "formation_energy_uncorrected_ev_per_atom": -0.2788,
  "sg": "No. 123",
  "m_tot_mub_per_cell": 0.00
}

{
  "formula": "ZrHgTe2",
  "functional": "PBE-GGA",
  "state": "relaxed",
  "lattice_angstrom": [[0.597, 3.173, -2.281], [-2.600, -2.766, -1.103], [-7.535, 5.062, 5.069]],
  "species": ["Te", "Te", "Zr", "Hg"],
  "frac_coords": [[0.333, 0.667, 0.822], [0.667, 0.333, 0.172], [0.000, 0.000, 0.997], [0.333, 0.667, 0.464]],
  "dft_energy_ev_per_atom": -4.4280,
  "formation_energy_uncorrected_ev_per_atom": -0.6447,
  "sg": "No. 156",
  "m_tot_mub_per_cell": 0.00
}